NaH4BrO2: single point on PBEsol structure, SCAN.

Computed properties:
Theoretical density = 2.28 g/cm3
E = -7.470 eV per atom

Cell lengths 6.594, 6.716, 10.325 Å; angles 90.00, 90.00, 117.62 degrees
Fractional positions:
Na  0.000  0.056  0.334
Na  0.000  0.944  0.666
Na  0.000  0.444  0.834
Na  0.000  0.556  0.166
H  0.745  0.123  0.046
H  0.255  0.377  0.546
H  0.255  0.877  0.954
H  0.745  0.623  0.454
H  0.614  0.252  0.990
H  0.386  0.248  0.490
H  0.386  0.748  0.010
H  0.614  0.752  0.510
H  0.374  0.462  0.194
H  0.626  0.038  0.694
H  0.626  0.538  0.806
H  0.374  0.962  0.306
H  0.218  0.785  0.406
H  0.782  0.715  0.906
H  0.782  0.215  0.594
H  0.218  0.285  0.094
Br  0.713  0.790  0.113
Br  0.287  0.710  0.613
Br  0.287  0.210  0.887
Br  0.713  0.290  0.387
O  0.233  0.727  0.983
O  0.785  0.157  0.682
O  0.785  0.657  0.818
O  0.215  0.843  0.318
O  0.767  0.773  0.483
O  0.767  0.273  0.017
O  0.233  0.227  0.517
O  0.215  0.343  0.182

Ge2SeS: single point on PBEsol structure, SCAN.

Computed properties:
Theoretical density = 5.11 g/cm3
E = -17.163 eV per atom

Cell lengths 3.754, 4.229, 10.490 Å; angles 90.00, 90.00, 90.00 degrees
Fractional positions:
Ge  0.000  0.158  0.623
Ge  0.000  0.842  0.123
Ge  0.500  0.387  0.385
Ge  0.500  0.613  0.885
Se  0.500  0.252  0.142
Se  0.500  0.748  0.642
S  0.000  0.244  0.850
S  0.000  0.756  0.350

CoRuW2: single point on PBEsol structure, SCAN.

Computed properties:
Calculated formation energy = 1.31 eV/f.u.
Theoretical density = 15.84 g/cm3
ΔE to the lowest computed polymorph = 209 meV/atom

Cell lengths 4.277, 4.277, 4.277 Å; angles 60.00, 60.00, 60.00 degrees
Fractional positions:
Co  0.500  0.500  0.500
Ru  0.250  0.250  0.250
W  0.000  0.000  0.000
W  0.750  0.750  0.750